A relaxed NaTb3Ce2Te6 crystal, computed with PBE.

Values from the calculation:
uncorrected formation energy = -129.10 kJ per mole of atoms
size of the total moment = 2.449 μB/f.u.
final energy = -5.165 eV/atom

Lattice parameters (Å, degrees): 9.9542 9.9542 8.9657 103.65 103.65 25.51
Sites, in units of the cell vectors:
Na: 0.0000 0.0000 0.0000
Tb: 0.0000 0.0000 0.5000
Tb: 0.3335 0.3335 0.1722
Tb: 0.6665 0.6665 0.8278
Ce: 0.3310 0.3310 0.6623
Ce: 0.6690 0.6690 0.3377
Te: 0.1633 0.1633 0.5876
Te: 0.1674 0.1674 0.0755
Te: 0.4988 0.4988 0.2530
Te: 0.5012 0.5012 0.7470
Te: 0.8326 0.8326 0.9245
Te: 0.8367 0.8367 0.4124

---

A relaxed MgTl2Cl crystal, computed with PBE.

Values from the calculation:
uncorrected formation energy = -26.56 kJ per mole of atoms
E above lowest polymorph = 252 meV/atom
size of the total moment = 0.000 μB/f.u.
final energy = -2.319 eV/atom

Lattice parameters (Å, degrees): 6.0859 6.0859 6.0859 134.77 134.77 65.88
Sites, in units of the cell vectors:
Mg: 0.0000 0.0000 0.0000
Tl: 0.2500 0.7500 0.5000
Tl: 0.7500 0.2500 0.5000
Cl: 0.5000 0.5000 0.0000

---

- Among the records above, which one has the highest final energy?
  MgTl2Cl